Arrangement i

Below is a relaxed YNiPb2 crystal, with properties calculated at the GGA-PBE level.

a = 6.2387 Å, b = 10.7349 Å, c = 3.8564 Å
α = 90.00°, β = 126.85°, γ = 90.00°
Last column: nearest neighbours and their distance in Å.
Space group C2/m (No. 12)
Asymmetric unit:
Y  0.0000  0.0000  0.0000 x2  4 Ni 3.12-3.19, 4 Pb 3.12
Ni  0.0000  0.5000  0.0000 x2  4 Y 3.12-3.19, 4 Pb 3.12
Pb  0.2500  0.2500  0.5000 x4  4 Pb 3.12-3.19, 2 Y 3.12, 2 Ni 3.12

- Volume: 25.83 A^3/atom

***

Arrangement ii

Below is a relaxed YNiPb2 crystal, with properties calculated at the GGA-PBE level.

a = 3.8824 Å, b = 4.4362 Å, c = 5.8030 Å
α = 90.00°, β = 99.82°, γ = 90.00°
Last column: nearest neighbours and their distance in Å.
Space group P2/m (No. 10)
Asymmetric unit:
Y  0.0000  0.0000  0.0000 x1  4 Pb 3.14, 2 Ni 3.20
Ni  0.5000  0.0000  0.5000 x1  4 Pb 2.70
Pb  0.3336  0.5000  0.7231 x2  2 Ni 2.70

- Volume: 24.62 A^3/atom

***

Energies relative to the minimum, meV per atom: arrangement i 220; arrangement ii 0